A plane-wave DFT calculation with PBE was carried out for a relaxed structure of KCrPt2.

Results
The density of states at the Fermi level comes out at 3.19 states/eV per cell. The calculation puts the final energy at -0.210 Ha/atom.

Cell: 3.0071 3.0071 8.3549 Å, 90.00 90.00 90.00°
Element x y z (fractional)
K 0.0000 0.0000 0.0000
Cr 0.0000 0.0000 0.5000
Pt 0.5000 0.5000 0.3160
Pt 0.5000 0.5000 0.6840

=====

A plane-wave DFT calculation with PBE was carried out for a relaxed structure of KCr2Pt.

Results
The density of states at the Fermi level comes out at 4.53 states/eV per cell. The energy above the most stable polymorph in this dataset is 198 meV per atom. The calculation puts the final energy at -0.220 Ha/atom.

Cell: 3.2647 3.2647 8.5386 Å, 90.00 90.00 90.00°
Element x y z (fractional)
K 0.0000 0.0000 0.0000
Cr 0.5000 0.5000 0.3353
Cr 0.5000 0.5000 0.6647
Pt 0.0000 0.0000 0.5000

=====

A plane-wave DFT calculation with PBE was carried out for a relaxed structure of KCr2Pt.

Results
The density of states at the Fermi level comes out at 5.49 states/eV per cell. The energy above the most stable polymorph in this dataset is 464 meV per atom. The calculation puts the final energy at -0.210 Ha/atom.

Cell: 9.2139 9.2139 9.2139 Å, 144.85 144.85 50.56°
Element x y z (fractional)
K 0.0000 0.0000 0.0000
K 0.7500 0.2500 0.5000
Cr 0.3732 0.6250 0.2482
Cr 0.3750 0.6232 0.7482
Cr 0.3768 0.1250 0.7518
Cr 0.8750 0.6268 0.2518
Pt 0.2500 0.7500 0.5000
Pt 0.5000 0.5000 0.0000

=====

A plane-wave DFT calculation with PBE was carried out for a relaxed structure of K2CrPt2.

Results
The density of states at the Fermi level comes out at 7.61 states/eV per cell. The energy above the most stable polymorph in this dataset is 0 meV per atom. The calculation puts the final energy at -0.138 Ha/atom.

Cell: 11.5001 11.5001 11.5001 Å, 161.90 161.90 25.70°
Element x y z (fractional)
K 0.1255 0.1255 0.0000
K 0.8745 0.8745 0.0000
Cr 0.5000 0.5000 0.0000
Pt 0.2500 0.7500 0.5000
Pt 0.7500 0.2500 0.5000